Ti2IrWO (GGA-PBEsol, optimized geometry); V = 104.0 Å³ per cell; energy = -7.516 eV/atom; crystal system = tetragonal
1.0
4.7755 0.0000 0.0000
0.0000 4.7755 0.0000
0.0000 0.0000 4.5596
Ti Ir W O
2 1 1 1
direct
0.0000 0.5000 0.0000 Ti
0.5000 0.0000 0.0000 Ti
0.0000 0.0000 0.5000 Ir
0.0000 0.0000 0.0000 W
0.5000 0.5000 0.5000 O